[1]
Below is crystalline NiAg2Se at its relaxed geometry, with properties calculated at the PBE level.

Output
For the formation energy from raw total energies, the calculation gives 0.2060 eV per atom. The calculation puts the volume at 67.0 Å³/cell. The calculation puts the calculated density at 8.8 g/cm3. As for the final energy: -3.5360 eV per atom. The calculation puts the total magnetization at 0.000 μB per formula unit.

a b c (Å): 3.8816 3.8816 4.4465
angles (deg): 90.00 90.00 90.00
Space group P4/mmm (No. 123)
Symmetry-distinct sites (fractional):
Ni  0.0000  0.0000  0.0000
Ag  0.0000  0.5000  0.5000
Se  0.5000  0.5000  0.0000

=====

[2]
Below is crystalline NiAg2Se at its relaxed geometry, with properties calculated at the PBE level.

Output
For the formation energy from raw total energies, the calculation gives 0.0850 eV per atom. The calculation puts the volume at 73.0 Å³/cell. The calculation puts the calculated density at 8.0 g/cm3. As for the final energy: -3.6570 eV per atom. The calculation puts the total magnetization at 0.000 μB per formula unit.

a b c (Å): 3.9603 2.9647 6.4929
angles (deg): 90.00 106.65 90.00
Space group Pm (No. 6)
Symmetry-distinct sites (fractional):
Ni  0.0000  0.0000  0.0000
Ag  0.2099  0.0000  0.4411
Ag  0.5841  0.5000  0.1801
Se  0.8495  0.5000  0.7218

=====

[3]
Below is crystalline Ni2AgSe at its relaxed geometry, with properties calculated at the PBE level.

Output
For the formation energy from raw total energies, the calculation gives 0.2729 eV per atom. The calculation puts the volume at 286.6 Å³/cell. The calculation puts the calculated density at 7.1 g/cm3. As for the final energy: -4.2017 eV per atom. The calculation puts the total magnetization at 0.004 μB per formula unit.

a b c (Å): 4.3126 4.3126 15.4109
angles (deg): 90.00 90.00 90.00
Space group I-42d (No. 122)
Symmetry-distinct sites (fractional):
Ni  0.1179  0.2500  0.1250
Ag  0.0000  0.0000  0.5000
Se  0.0000  0.0000  0.0000

=====

[4]
Below is crystalline NiAgSe3 at its relaxed geometry, with properties calculated at the PBE level.

Output
For the formation energy from raw total energies, the calculation gives -0.1431 eV per atom. The calculation puts the volume at 409.8 Å³/cell. The calculation puts the calculated density at 6.5 g/cm3. As for the final energy: -3.9604 eV per atom. The calculation puts the total magnetization at 0.000 μB per formula unit.

a b c (Å): 6.7520 11.7962 5.8798
angles (deg): 90.00 118.95 90.00
Space group C2/m (No. 12)
Symmetry-distinct sites (fractional):
Ni  0.0000  0.1671  0.0000
Ag  0.1216  0.5000  0.2934
Se  0.0102  0.0000  0.7700
Se  0.0902  0.3039  0.7514

=====

[5]
Below is crystalline NiAg3Sn3Se8 at its relaxed geometry, with properties calculated at the PBE level.

Output
For the formation energy from raw total energies, the calculation gives -0.2441 eV per atom. The calculation puts the volume at 1082.6 Å³/cell. The calculation puts the calculated density at 6.3 g/cm3. As for the final energy: -3.8587 eV per atom. The calculation puts the total magnetization at 0.000 μB per formula unit.

a b c (Å): 7.8960 7.8960 20.0500
angles (deg): 90.00 90.00 120.00
Space group R-3m (No. 166, hexagonal axes)
Symmetry-distinct sites (fractional):
Ni  0.0000  0.0000  0.0000
Ag  0.0000  0.5000  0.5000
Sn  0.0000  0.5000  0.0000
Se  0.0000  0.0000  0.2493
Se  0.0411  0.5206  0.7413

=====

[6]
Below is crystalline Ta2NiAg2Se6 at its relaxed geometry, with properties calculated at the PBE level.

Output
For the formation energy from raw total energies, the calculation gives -0.3830 eV per atom. The calculation puts the volume at 490.3 Å³/cell. The calculation puts the calculated density at 7.5 g/cm3. As for the final energy: -5.4827 eV per atom. The calculation puts the total magnetization at 1.777 μB per formula unit.

a b c (Å): 6.2534 11.2070 7.1719
angles (deg): 90.00 102.70 90.00
Space group C2/m (No. 12)
Symmetry-distinct sites (fractional):
Ta  0.0000  0.1308  0.0000
Ni  0.0000  0.5000  0.0000
Ag  0.0000  0.1377  0.5000
Se  0.1983  0.3303  0.1923
Se  0.2422  0.0000  0.2529

=====

[7]
Below is crystalline Ti2NiAg2Se6 at its relaxed geometry, with properties calculated at the PBE level.

Output
For the formation energy from raw total energies, the calculation gives -0.5919 eV per atom. The calculation puts the volume at 462.5 Å³/cell. The calculation puts the calculated density at 6.1 g/cm3. As for the final energy: -4.9720 eV per atom. The calculation puts the total magnetization at 1.578 μB per formula unit.

a b c (Å): 6.3810 11.0329 6.5692
angles (deg): 90.00 90.19 90.00
Space group C2/m (No. 12)
Symmetry-distinct sites (fractional):
Ti  0.0000  0.1673  0.0000
Ni  0.0000  0.5000  0.0000
Ag  0.0000  0.1665  0.5000
Se  0.1599  0.3399  0.7806
Se  0.1785  0.0000  0.7814

=====

[8]
Below is crystalline TlNiAgSe2 at its relaxed geometry, with properties calculated at the PBE level.

Output
For the formation energy from raw total energies, the calculation gives -0.1588 eV per atom. The calculation puts the volume at 470.5 Å³/cell. The calculation puts the calculated density at 7.5 g/cm3. As for the final energy: -3.7524 eV per atom. The calculation puts the total magnetization at 0.000 μB per formula unit.

a b c (Å): 5.6789 14.5590 5.6912
angles (deg): 90.00 90.00 90.00
Space group Cmme (No. 67)
Symmetry-distinct sites (fractional):
Tl  0.0000  0.2500  0.2191
Ni  0.2500  0.0000  0.5000
Ag  0.0000  0.0000  0.0000
Se  0.0000  0.1147  0.6648